# 1
{
  "formula": "Sm3Y5Er",
  "functional": "PBE-GGA",
  "state": "relaxed",
  "lattice_angstrom": [[7.0756, 0.0000, 0.0000], [0.0000, 9.7901, 0.0000], [0.0000, -4.8951, 8.4785]],
  "species": ["Y", "Y", "Sm", "Y", "Y", "Y", "Y", "Er", "Sm", "Y", "Sm", "Y", "Sm", "Er", "Sm", "Sm", "Y", "Y"],
  "frac_coords": [[0.0000, 0.3333, 0.6667], [0.7500, 0.6957, 0.0000], [0.2500, 0.6395, 0.0000], [0.5000, 0.3333, 0.6667], [0.7500, 0.3043, 0.3043], [0.7500, 0.0000, 0.6957], [0.0000, 0.6667, 0.3333], [0.5000, 0.0000, 0.0000], [0.7500, 0.6395, 0.6395], [0.2500, 0.0000, 0.3043], [0.2500, 0.3605, 0.3605], [0.5000, 0.6667, 0.3333], [0.7500, 0.3605, 0.0000], [0.0000, 0.0000, 0.0000], [0.2500, 0.0000, 0.6395], [0.7500, 0.0000, 0.3605], [0.2500, 0.6957, 0.6957], [0.2500, 0.3043, 0.0000]],
  "n_ef_per_ev_cell": 25.7,
  "formation_enthalpy_0k_ev_per_atom": 0.0461,
  "e_tot_ev_per_cell": -101.25
}



# 2
{
  "formula": "V6PdS8",
  "functional": "PBE-GGA",
  "state": "relaxed",
  "lattice_angstrom": [[6.3085, -0.0249, -0.0257], [-0.2216, 6.3047, -0.0257], [-0.2216, -0.2286, 6.3006]],
  "species": ["V", "S", "S", "S", "S", "V", "V", "V", "V", "S", "S", "V", "Pd", "S", "S"],
  "frac_coords": [[0.2057, 0.4053, 0.5468], [0.8649, 0.2712, 0.6072], [0.7790, 0.7790, 0.7790], [0.3928, 0.1351, 0.7288], [0.2712, 0.6072, 0.8649], [0.5947, 0.4532, 0.7943], [0.4532, 0.7943, 0.5947], [0.7943, 0.5947, 0.4532], [0.4053, 0.5468, 0.2057], [0.2210, 0.2210, 0.2210], [0.7288, 0.3928, 0.1351], [0.5468, 0.2057, 0.4053], [0.0000, 0.0000, 0.0000], [0.6072, 0.8649, 0.2712], [0.1351, 0.7288, 0.3928]],
  "n_ef_per_ev_cell": 9.9,
  "formation_energy_uncorrected_mev_per_atom": -826,
  "e_tot_ev_per_cell": -105.32
}



# 3
{
  "formula": "Tl2Cu2Cl",
  "functional": "PBE-GGA",
  "state": "relaxed",
  "lattice_angstrom": [[-3.8663, 4.3513, -4.7659], [-3.4658, -6.0866, -2.7455], [-2.7543, 0.3970, 2.5968]],
  "species": ["Cu", "Tl", "Tl", "Cl", "Cu", "Cu", "Tl", "Cl", "Cu", "Tl"],
  "frac_coords": [[0.8865, 0.6135, 0.0000], [0.8191, 0.3191, 0.5000], [0.6809, 0.8191, 0.5000], [0.5000, 0.5000, 0.0000], [0.6135, 0.1135, 0.0000], [0.1135, 0.3865, 0.0000], [0.1809, 0.6809, 0.5000], [0.0000, 0.0000, 0.0000], [0.3865, 0.8865, 0.0000], [0.3191, 0.1809, 0.5000]],
  "n_ef_per_ev_cell": 2.8,
  "formation_energy_uncorrected_mev_per_atom": 40,
  "e_tot_ev_per_cell": -29.15
}